Nd5Ho4Al | PBE | relaxed

a = 3.6131 Å, b = 3.6131 Å, c = 24.3409 Å
α = 90.00°, β = 90.00°, γ = 90.00°
Closest atoms and distances in Å follow each position.
Sites, in units of the cell vectors:
Nd (0.5000, 0.5000, 0.0804)  4 Al 3.22
Nd (0.5000, 0.5000, 0.2914)  8 Ho 3.58-3.61, 4 Nd 3.61
Nd (0.5000, 0.5000, 0.5000)  8 Ho 3.59, 4 Nd 3.61
Nd (0.5000, 0.5000, 0.7086)  8 Ho 3.58-3.61, 4 Nd 3.61
Nd (0.5000, 0.5000, 0.9196)  4 Al 3.22
Ho (0.0000, 0.0000, 0.1884)  8 Nd 3.58-3.67, 4 Ho 3.61
Ho (0.0000, 0.0000, 0.3961)  8 Nd 3.59-3.61, 4 Ho 3.61
Ho (0.0000, 0.0000, 0.6039)  8 Nd 3.59-3.61, 4 Ho 3.61
Ho (0.0000, 0.0000, 0.8116)  8 Nd 3.58-3.67, 4 Ho 3.61
Al (0.0000, 0.0000, 0.0000)  8 Nd 3.22

Results
E_tot in eV per atom: -4.633
Crystal system: tetragonal
Space-group type: P4/mmm
Total magnetic moment in μB per cell: 0.00
Formation enthalpy at 0 K in eV/atom: -0.044



NdHoAl6 | PBE | relaxed

a = 4.6594 Å, b = 6.3487 Å, c = 6.3487 Å
α = 119.95°, β = 90.00°, γ = 90.00°
Closest atoms and distances in Å follow each position.
Sites, in units of the cell vectors:
Nd (0.5000, 0.4164, 0.5836)  12 Al 3.13-3.18
Ho (0.0000, 0.0835, 0.9165)  12 Al 3.11-3.19
Al (0.0000, 0.0354, 0.3926)  6 Al 2.72-2.82
Al (0.0000, 0.6074, 0.9646)  6 Al 2.72-2.82
Al (0.0000, 0.6070, 0.3930)  6 Al 2.72-2.82
Al (0.5000, 0.4589, 0.1047)  6 Al 2.77-2.82
Al (0.5000, 0.8953, 0.5411)  6 Al 2.77-2.82
Al (0.5000, 0.8958, 0.1042)  6 Al 2.78-2.82

Results
E_tot in eV per atom: -4.403
Crystal system: hexagonal
Space-group type: P-6m2
Total magnetic moment in μB per cell: 0.00
Formation enthalpy at 0 K in eV/atom: -0.428



NdHoAlNi | PBE | relaxed

a = 5.0499 Å, b = 5.0499 Å, c = 5.0499 Å
α = 60.00°, β = 60.00°, γ = 60.00°
Closest atoms and distances in Å follow each position.
Sites, in units of the cell vectors:
Ni (0.0000, 0.0000, 0.0000)  4 Nd 3.09, 4 Ho 3.09
Nd (0.2500, 0.2500, 0.2500)  4 Al 3.09, 4 Ni 3.09
Ho (0.7500, 0.7500, 0.7500)  4 Al 3.09, 4 Ni 3.09
Al (0.5000, 0.5000, 0.5000)  4 Ho 3.09, 4 Nd 3.09

Results
E_tot in eV per atom: -4.971
Crystal system: cubic
Space-group type: F-43m
Total magnetic moment in μB per cell: 0.00
Formation enthalpy at 0 K in eV/atom: -0.253



Nd2HoAlO | PBE | relaxed

a = 4.6625 Å, b = 4.9637 Å, c = 4.9637 Å
α = 90.00°, β = 90.00°, γ = 90.00°
Closest atoms and distances in Å follow each position.
Sites, in units of the cell vectors:
Nd (0.0000, 0.0000, 0.5000)  2 O 2.48
Nd (0.0000, 0.5000, 0.0000)  2 O 2.48
Ho (0.5000, 0.0000, 0.0000)  2 O 2.33
Al (0.5000, 0.5000, 0.5000)  8 Nd 3.41, 4 Ho 3.51
O (0.0000, 0.0000, 0.0000)  2 Ho 2.33, 4 Nd 2.48

Results
E_form (uncorrected) in eV/atom: -1.3280
E_tot in eV per atom: -5.891
Crystal system: tetragonal
Space-group type: P4/mmm
Total magnetic moment in μB per cell: 0.00



Nd2HoAl2Pd5 | PBE | relaxed

a = 3.7340 Å, b = 10.3654 Å, c = 10.3654 Å
α = 90.00°, β = 90.00°, γ = 90.00°
Closest atoms and distances in Å follow each position.
Sites, in units of the cell vectors:
Nd (0.0000, 0.6781, 0.1781)  3 Al 2.99-3.13, 10 Pd 3.21-3.32
Nd (0.0000, 0.3219, 0.8219)  3 Al 2.99-3.13, 10 Pd 3.21-3.32
Nd (0.0000, 0.1781, 0.3219)  3 Al 2.99-3.13, 10 Pd 3.21-3.32
Nd (0.0000, 0.8219, 0.6781)  3 Al 2.99-3.13, 10 Pd 3.21-3.32
Ho (0.0000, 0.0000, 0.0000)  8 Pd 3.00
Ho (0.0000, 0.5000, 0.5000)  8 Pd 3.00
Al (0.0000, 0.1182, 0.6182)  6 Pd 2.55-2.59
Al (0.0000, 0.8818, 0.3818)  6 Pd 2.55-2.59
Al (0.0000, 0.6182, 0.8818)  6 Pd 2.55-2.59
Al (0.0000, 0.3818, 0.1182)  6 Pd 2.55-2.59
Pd (0.5000, 0.2176, 0.0648)  2 Al 2.59
Pd (0.5000, 0.7824, 0.9352)  2 Al 2.59
Pd (0.5000, 0.0648, 0.7824)  2 Al 2.59
Pd (0.5000, 0.7176, 0.4352)  2 Al 2.59
Pd (0.5000, 0.9352, 0.2176)  2 Al 2.59
Pd (0.5000, 0.2824, 0.5648)  2 Al 2.59
Pd (0.5000, 0.5648, 0.7176)  2 Al 2.59
Pd (0.5000, 0.4352, 0.2824)  2 Al 2.59
Pd (0.5000, 0.5000, 0.0000)  4 Al 2.55
Pd (0.5000, 0.0000, 0.5000)  4 Al 2.55

Results
E_tot in eV per atom: -5.576
Crystal system: tetragonal
Space-group type: P4/mbm
Total magnetic moment in μB per cell: 0.00
Formation enthalpy at 0 K in eV/atom: -0.820



PmNdHoAl | PBE | relaxed

a = 5.4404 Å, b = 5.4404 Å, c = 5.4404 Å
α = 60.00°, β = 60.00°, γ = 60.00°
Closest atoms and distances in Å follow each position.
Sites, in units of the cell vectors:
Al (0.2500, 0.2500, 0.2500)  4 Nd 3.33, 4 Pm 3.33
Nd (0.5000, 0.5000, 0.5000)  4 Ho 3.33, 4 Al 3.33
Ho (0.7500, 0.7500, 0.7500)  4 Nd 3.33, 4 Pm 3.33
Pm (0.0000, 0.0000, 0.0000)  4 Ho 3.33, 4 Al 3.33

Results
E_tot in eV per atom: -4.521
Crystal system: cubic
Space-group type: F-43m
Total magnetic moment in μB per cell: 0.00
Polymorph energy (0 for the lowest one) in kJ/mol of formula units: 44.8
Formation enthalpy at 0 K in eV/atom: -0.061



PmNdHoAl | PBE | relaxed

a = 3.5524 Å, b = 3.5524 Å, c = 9.2519 Å
α = 90.00°, β = 90.00°, γ = 90.00°
Closest atoms and distances in Å follow each position.
Sites, in units of the cell vectors:
Pm (0.5000, 0.5000, 0.7806)  4 Al 3.22, 4 Pm 3.55
Nd (0.0000, 0.0000, 0.0794)  4 Nd 3.55, 4 Ho 3.62, 4 Pm 3.74
Ho (0.5000, 0.5000, 0.3610)  4 Al 3.13
Al (0.0000, 0.0000, 0.5636)  4 Ho 3.13, 4 Pm 3.22

Results
E_tot in eV per atom: -4.637
Crystal system: tetragonal
Space-group type: P4mm
Total magnetic moment in μB per cell: 0.00
Polymorph energy (0 for the lowest one) in kJ/mol of formula units: 0.0
Formation enthalpy at 0 K in eV/atom: -0.178



NdHoAlRh | PBE | relaxed

a = 5.0650 Å, b = 5.0650 Å, c = 5.0650 Å
α = 60.00°, β = 60.00°, γ = 60.00°
Closest atoms and distances in Å follow each position.
Sites, in units of the cell vectors:
Rh (0.0000, 0.0000, 0.0000)  4 Ho 3.10, 4 Nd 3.10
Nd (0.7500, 0.7500, 0.7500)  4 Rh 3.10, 4 Al 3.10
Ho (0.2500, 0.2500, 0.2500)  4 Al 3.10, 4 Rh 3.10
Al (0.5000, 0.5000, 0.5000)  4 Ho 3.10, 4 Nd 3.10

Results
E_tot in eV per atom: -5.588
Crystal system: cubic
Space-group type: F-43m
Total magnetic moment in μB per cell: 0.00
Formation enthalpy at 0 K in eV/atom: -0.478



NdHoAlRu | PBE | relaxed

a = 5.0326 Å, b = 5.0326 Å, c = 5.0326 Å
α = 60.00°, β = 60.00°, γ = 60.00°
Closest atoms and distances in Å follow each position.
Sites, in units of the cell vectors:
Ru (0.2500, 0.2500, 0.2500)  4 Nd 3.08, 4 Ho 3.08
Nd (0.0000, 0.0000, 0.0000)  4 Al 3.08, 4 Ru 3.08
Ho (0.5000, 0.5000, 0.5000)  4 Ru 3.08, 4 Al 3.08
Al (0.7500, 0.7500, 0.7500)  4 Nd 3.08, 4 Ho 3.08

Results
E_tot in eV per atom: -5.856
Crystal system: cubic
Space-group type: F-43m
Total magnetic moment in μB per cell: 0.00
Formation enthalpy at 0 K in eV/atom: -0.265



NdHoAl2S6 | PBE | relaxed

a = 6.6289 Å, b = 6.6295 Å, c = 6.6933 Å
α = 89.99°, β = 119.65°, γ = 120.01°
Closest atoms and distances in Å follow each position.
Sites, in units of the cell vectors:
Nd (0.0490, 0.5239, 0.5590)  6 S 2.78-2.96
Ho (0.0226, 0.0109, 0.0192)  6 S 2.72-2.76
Al (0.5919, 0.7953, 0.3734)  6 S 2.40-2.51
Al (0.5998, 0.2995, 0.8852)  6 S 2.41-2.49
S (0.5333, 0.9622, 0.6620)  2 Al 2.41-2.51
S (0.5149, 0.0686, 0.1603)  2 Al 2.40-2.49
S (0.7290, 0.6593, 0.1601)  2 Al 2.40-2.49
S (0.1055, 0.4453, 0.1599)  2 Al 2.40-2.49
S (0.7138, 0.5701, 0.6618)  2 Al 2.41-2.50
S (0.1059, 0.1426, 0.6616)  2 Al 2.41-2.51

Results
E_form (uncorrected) in eV/atom: -1.4595
E_tot in eV per atom: -5.619
Crystal system: trigonal
Space-group type: R3
Total magnetic moment in μB per cell: 0.00



NdHoScAl | PBE | relaxed

a = 5.2889 Å, b = 5.2889 Å, c = 5.2889 Å
α = 60.00°, β = 60.00°, γ = 60.00°
Closest atoms and distances in Å follow each position.
Sites, in units of the cell vectors:
Sc (0.0000, 0.0000, 0.0000)  4 Ho 3.24, 4 Nd 3.24
Nd (0.7500, 0.7500, 0.7500)  4 Al 3.24, 4 Sc 3.24
Ho (0.2500, 0.2500, 0.2500)  4 Al 3.24, 4 Sc 3.24
Al (0.5000, 0.5000, 0.5000)  4 Nd 3.24, 4 Ho 3.24

Results
E_tot in eV per atom: -4.953
Crystal system: cubic
Space-group type: F-43m
Total magnetic moment in μB per cell: 0.87
Formation enthalpy at 0 K in eV/atom: -0.098



NdHoAlSi | PBE | relaxed

a = 4.3913 Å, b = 4.0265 Å, c = 5.9512 Å
α = 90.00°, β = 111.65°, γ = 90.00°
Closest atoms and distances in Å follow each position.
Sites, in units of the cell vectors:
Nd (0.1449, 0.0000, 0.2897)  4 Al 3.10, 3 Si 3.11-3.27
Ho (0.8615, 0.5000, 0.7231)  4 Si 3.06, 3 Al 3.17-3.25
Al (0.5680, 0.5000, 0.1359)  2 Si 2.56
Si (0.4256, 0.0000, 0.8513)  2 Al 2.56

Results
E_form (uncorrected) in eV/atom: -0.6169
E_tot in eV per atom: -5.245
Crystal system: orthorhombic
Space-group type: Amm2
Total magnetic moment in μB per cell: 0.00